A plane-wave DFT calculation with PBE was carried out for a relaxed Sm3Tm6Th2 crystal.

Computed properties:
**Symmetry**: C2/m, No. 12

a = 6.109 Å, b = 6.109 Å, c = 11.474 Å
α = 95.16°, β = 95.16°, γ = 120.10°
Atoms (fractional coordinates):
1 Sm 0.000 0.000 0.000
2 Sm 0.335 0.665 0.000
3 Sm 0.665 0.335 0.000
4 Tm 0.086 0.418 0.255
5 Tm 0.248 0.248 0.745
6 Tm 0.418 0.086 0.255
7 Tm 0.582 0.914 0.745
8 Tm 0.752 0.752 0.255
9 Tm 0.914 0.582 0.745
10 Th 0.165 0.835 0.500
11 Th 0.835 0.165 0.500

A plane-wave DFT calculation with PBE was carried out for a relaxed SmTm7Th3 crystal.

Computed properties:
**Symmetry**: P3m1, No. 156

a = 7.015 Å, b = 7.015 Å, c = 8.481 Å
α = 90.00°, β = 90.00°, γ = 120.00°
Atoms (fractional coordinates):
1 Sm 0.000 0.000 0.000
2 Tm 0.003 0.501 0.004
3 Tm 0.332 0.166 0.339
4 Tm 0.333 0.667 0.340
5 Tm 0.499 0.501 0.004
6 Tm 0.499 0.997 0.004
7 Tm 0.834 0.166 0.339
8 Tm 0.834 0.668 0.339
9 Th 0.168 0.335 0.669
10 Th 0.168 0.832 0.669
11 Th 0.665 0.832 0.669

Number 1: formation energy 211 meV per atom. Number 2: formation energy 212 meV per atom.